Compound: CaCrGaO4
Source: Alexandria via LeMat-Bulk
Functional: PBE with a Hubbard U
Structure: relaxed

a = 6.1887 Å, b = 6.1887 Å, c = 6.1887 Å
α = 120.93°, β = 119.20°, γ = 89.89°
Sites, in units of the cell vectors:
Ca 0.5000 0.0000 0.0000
Ca 0.5000 0.5000 0.5000
Cr 0.0000 0.0000 0.0000
Cr 0.5000 0.0000 0.5000
Ga 0.1072 0.3572 0.7500
Ga 0.8928 0.6428 0.2500
O 0.2203 0.2311 0.9891
O 0.2384 0.2224 0.4841
O 0.2384 0.7543 0.0159
O 0.2580 0.7689 0.4891
O 0.7420 0.2311 0.5109
O 0.7616 0.2457 0.9841
O 0.7616 0.7776 0.5159
O 0.7797 0.7689 0.0109

Results
- D(E_F) (states/eV/f.u.) = 0.000
- final energy (eV/f.u.) = -47.37
- volume (Å³/atom) = 11.956
- space group = No. 74